Below is crystalline CrTcIO2 at its relaxed geometry, with properties calculated at the PBE with a Hubbard U level.

Summary:
Its space group is No. 123. The value obtained for the energy relative to the lowest polymorph listed for this composition is 775 meV/atom. As for the total DFT energy (no corrections): -5.621 eV/atom. The value obtained for the total magnetization is 4.012 μB per formula unit. As for the volume: 18.1 Å³ per atom.

a b c (Å): 3.806 3.806 6.251
angles (deg): 90.00 90.00 90.00
Element x y z (fractional)
Cr1 0.000 0.000 0.000
Tc1 0.500 0.500 0.500
I1 0.000 0.000 0.500
O1 0.000 0.500 0.000
O2 0.500 0.000 0.000